1.
Below is a relaxed structure of Hf2UAg, with properties calculated at the PBE level. Values from VASP.

Structure (Quantum ESPRESSO input):
```
&SYSTEM
  ibrav = 0, nat = 4, ntyp = 3
/
ATOMIC_SPECIES
Hf 178.49 Hf.upf
U 238.03 U.upf
Ag 107.87 Ag.upf
ATOMIC_POSITIONS angstrom
Hf 0.000 0.000 2.181
Hf 0.000 0.000 6.985
U 1.511 1.511 4.583
Ag 1.511 1.511 0.000
CELL_PARAMETERS angstrom
3.022 0.000 0.000
0.000 3.022 0.000
0.000 0.000 9.166
```

* formation energy from the elements: 2.6 kcal/mol of atoms
* mass density: 13.9 g/cm³
* energy: -33.6 eV per formula unit
* ΔE to the lowest computed polymorph: 0.0 kJ/mol of atoms

2.
Below is a relaxed structure of LaTb3Pm4S8, with properties calculated at the PBE level. Values from VASP.

Structure (Quantum ESPRESSO input):
```
&SYSTEM
  ibrav = 0, nat = 16, ntyp = 4
/
ATOMIC_SPECIES
La 138.91 La.upf
Tb 158.93 Tb.upf
Pm 145.00 Pm.upf
S 32.06 S.upf
ATOMIC_POSITIONS angstrom
La 0.000 0.000 0.000
Tb -2.005 -1.157 6.558
Tb -2.005 1.157 13.116
Tb 0.000 2.315 6.558
Pm -4.010 0.000 9.837
Pm -2.005 1.157 3.279
Pm 2.005 1.157 3.279
Pm 0.000 0.000 9.837
S 0.000 -2.258 8.165
S -1.955 1.129 8.165
S 0.000 0.000 4.988
S -1.955 -1.129 11.509
S 1.955 1.129 8.165
S 0.000 0.000 14.685
S 1.955 -1.129 11.509
S 0.000 2.258 11.509
CELL_PARAMETERS angstrom
4.010 2.315 6.558
-4.010 2.315 6.558
0.000 -4.630 6.558
```

* mass density: 6.6 g/cm³
* energy: -103.4 eV per formula unit
* ΔE_f (raw): -2034 meV per atom

3.
Below is a relaxed structure of Pm9Nd2Tm, with properties calculated at the PBE level. Values from VASP.

Structure (Quantum ESPRESSO input):
```
&SYSTEM
  ibrav = 0, nat = 12, ntyp = 3
/
ATOMIC_SPECIES
Pm 145.00 Pm.upf
Nd 144.24 Nd.upf
Tm 168.93 Tm.upf
ATOMIC_POSITIONS angstrom
Pm -2.875 4.980 0.000
Pm 0.000 3.414 1.777
Pm -2.794 8.254 1.777
Pm 2.956 1.707 1.777
Pm 5.751 0.000 0.000
Pm 2.875 4.980 0.000
Pm 2.794 8.254 1.777
Pm 8.545 1.707 1.777
Pm 5.751 6.547 1.777
Nd 0.000 6.640 0.000
Nd 5.751 3.320 0.000
Tm 0.000 0.000 0.000
CELL_PARAMETERS angstrom
11.501 0.000 0.000
-5.751 9.960 0.000
0.000 0.000 3.553
```

* formation energy from the elements: 1.1 kcal/mol of atoms
* mass density: 7.2 g/cm³
* energy: -56.2 eV per formula unit
* ΔE to the lowest computed polymorph: 3.2 kJ/mol of atoms

4.
Below is a relaxed structure of Nd3Cu3Pt, with properties calculated at the PBE level. Values from VASP.

Structure (Quantum ESPRESSO input):
```
&SYSTEM
  ibrav = 0, nat = 14, ntyp = 3
/
ATOMIC_SPECIES
Nd 144.24 Nd.upf
Cu 63.55 Cu.upf
Pt 195.08 Pt.upf
ATOMIC_POSITIONS angstrom
Nd 0.000 0.000 0.000
Nd 0.000 0.000 6.927
Nd 0.000 2.163 3.556
Nd 1.950 0.000 13.059
Nd 1.950 2.163 9.503
Nd 1.950 2.163 16.430
Cu 0.000 0.000 10.388
Cu 0.000 0.000 15.741
Cu 0.000 2.163 11.692
Cu 1.950 0.000 2.189
Cu 1.950 2.163 0.885
Cu 1.950 2.163 6.238
Pt 0.000 2.163 14.226
Pt 1.950 0.000 4.723
CELL_PARAMETERS angstrom
3.900 0.000 0.000
0.000 4.327 0.000
0.000 0.000 19.006
```

* formation energy from the elements: -9.9 kcal/mol of atoms
* mass density: 8.5 g/cm³
* energy: -35.6 eV per formula unit

5.
Below is a relaxed structure of ThH8Ir2Pd, with properties calculated at the PBE level. Values from VASP.

Structure (Quantum ESPRESSO input):
```
&SYSTEM
  ibrav = 0, nat = 12, ntyp = 4
/
ATOMIC_SPECIES
Th 232.04 Th.upf
H 1.01 H.upf
Ir 192.22 Ir.upf
Pd 106.42 Pd.upf
ATOMIC_POSITIONS angstrom
Th 0.000 0.000 0.000
H 2.801 1.005 1.451
H 0.977 0.000 2.118
H 1.198 0.000 5.470
H 4.180 1.005 4.211
H 2.801 -1.005 1.451
H 5.783 0.000 0.192
H 6.004 0.000 3.544
H 4.180 -1.005 4.211
Ir 0.873 0.000 3.840
Ir 6.108 0.000 1.822
Pd 3.491 0.000 2.831
CELL_PARAMETERS angstrom
4.520 -2.102 0.000
4.520 2.102 0.000
-2.059 0.000 5.662
```

* mass density: 11.3 g/cm³
* energy: -59.1 eV per formula unit

6.
Below is a relaxed structure of AsBr2, with properties calculated at the PBE level. Values from VASP.

Structure (Quantum ESPRESSO input):
```
&SYSTEM
  ibrav = 0, nat = 12, ntyp = 2
/
ATOMIC_SPECIES
As 74.92 As.upf
Br 79.90 Br.upf
ATOMIC_POSITIONS angstrom
As 0.000 0.849 11.218
As 0.000 2.546 18.697
As 1.697 0.849 3.739
As 1.697 2.546 26.176
Br 0.000 0.849 24.416
Br 0.000 0.849 27.935
Br 0.000 2.546 1.980
Br 0.000 2.546 5.499
Br 1.697 0.849 16.937
Br 1.697 0.849 20.457
Br 1.697 2.546 9.459
Br 1.697 2.546 12.978
CELL_PARAMETERS angstrom
3.394 0.000 0.000
0.000 3.394 0.000
0.000 0.000 29.915
```

* mass density: 4.5 g/cm³
* energy: -7.2 eV per formula unit
* ΔE_f (raw): 266 meV per atom
* ΔE to the lowest computed polymorph: 52.3 kJ/mol of atoms

7.
Below is a relaxed structure of AcPmDy2Y6, with properties calculated at the PBE level. Values from VASP.

Structure (Quantum ESPRESSO input):
```
&SYSTEM
  ibrav = 0, nat = 20, ntyp = 4
/
ATOMIC_SPECIES
Ac 227.00 Ac.upf
Pm 145.00 Pm.upf
Dy 162.50 Dy.upf
Y 88.91 Y.upf
ATOMIC_POSITIONS angstrom
Ac 3.977 7.170 7.170
Ac 4.429 -7.170 2.390
Pm 4.429 1.351 2.390
Pm 3.977 -1.351 7.170
Dy 1.868 0.852 5.268
Dy 2.319 -0.852 0.488
Dy 6.087 0.852 9.072
Dy 6.539 -0.852 4.292
Y 2.047 4.142 6.496
Y 4.027 4.818 0.554
Y 4.831 4.818 4.226
Y 2.935 1.705 8.477
Y 5.908 4.142 7.843
Y 5.019 1.705 5.863
Y 3.387 -1.705 3.697
Y 2.498 -4.142 1.716
Y 5.471 -1.705 1.083
Y 3.576 -4.818 5.334
Y 4.379 -4.818 9.006
Y 6.360 -4.142 3.064
CELL_PARAMETERS angstrom
4.655 -7.658 0.000
4.655 7.658 0.000
-0.903 0.000 9.560
```

* formation energy from the elements: 2.9 kcal/mol of atoms
* mass density: 6.0 g/cm³
* energy: -55.6 eV per formula unit

8.
Below is a relaxed structure of Na2PuUO6, with properties calculated at the PBE level. Values from VASP.

Structure (Quantum ESPRESSO input):
```
&SYSTEM
  ibrav = 0, nat = 10, ntyp = 4
/
ATOMIC_SPECIES
Na 22.99 Na.upf
Pu 244.00 Pu.upf
U 238.03 U.upf
O 16.00 O.upf
ATOMIC_POSITIONS angstrom
Na 0.000 0.000 0.000
Na 0.000 0.000 7.397
Pu 0.000 0.000 3.446
U 0.000 0.000 10.834
O -1.207 -2.062 7.063
O -1.661 0.340 9.588
O -1.182 2.077 7.063
O 0.536 -1.608 9.588
O 2.390 -0.014 7.063
O 1.125 1.268 9.588
CELL_PARAMETERS angstrom
2.920 1.686 4.930
-2.920 1.686 4.930
0.000 -3.372 4.930
```

* mass density: 7.1 g/cm³
* energy: -85.3 eV per formula unit
* ΔE_f (raw): -2726 meV per atom

9.
Below is a relaxed structure of GaBSb2Te, with properties calculated at the PBE level. Values from VASP.

Structure (Quantum ESPRESSO input):
```
&SYSTEM
  ibrav = 0, nat = 5, ntyp = 4
/
ATOMIC_SPECIES
Ga 69.72 Ga.upf
B 10.81 B.upf
Sb 121.76 Sb.upf
Te 127.60 Te.upf
ATOMIC_POSITIONS angstrom
Ga 0.000 0.000 0.000
B 2.442 2.442 2.485
Sb 0.000 2.442 2.485
Sb 2.442 0.000 2.485
Te 2.442 2.442 0.000
CELL_PARAMETERS angstrom
4.885 0.000 0.000
0.000 4.885 0.000
0.000 0.000 4.969
```

* mass density: 6.3 g/cm³
* energy: -17.8 eV per formula unit
* ΔE_f (raw): 658 meV per atom
* ΔE to the lowest computed polymorph: 0.0 kJ/mol of atoms

10.
Below is a relaxed structure of MgBeIn2, with properties calculated at the PBE level. Values from VASP.

Structure (Quantum ESPRESSO input):
```
&SYSTEM
  ibrav = 0, nat = 8, ntyp = 3
/
ATOMIC_SPECIES
Mg 24.30 Mg.upf
Be 9.01 Be.upf
In 114.82 In.upf
ATOMIC_POSITIONS angstrom
Mg 0.000 0.000 0.000
Mg 2.006 2.463 4.231
Be 0.000 0.000 4.231
Be 2.006 2.463 0.000
In 0.000 2.463 1.868
In 0.000 2.463 6.593
In 2.006 0.000 2.363
In 2.006 0.000 6.098
CELL_PARAMETERS angstrom
4.012 0.000 0.000
0.000 4.926 0.000
0.000 0.000 8.461
```

* formation energy from the elements: 7.2 kcal/mol of atoms
* mass density: 5.2 g/cm³
* energy: -9.5 eV per formula unit
* ΔE to the lowest computed polymorph: 8.1 kJ/mol of atoms

11.
Below is a relaxed structure of KCd2Bi2, with properties calculated at the PBE level. Values from VASP.

Structure (Quantum ESPRESSO input):
```
&SYSTEM
  ibrav = 0, nat = 10, ntyp = 3
/
ATOMIC_SPECIES
K 39.10 K.upf
Cd 112.41 Cd.upf
Bi 208.98 Bi.upf
ATOMIC_POSITIONS angstrom
K 0.000 0.000 0.000
K 4.566 4.566 0.000
Cd 1.136 3.430 0.000
Cd 3.430 7.997 0.000
Cd 5.703 1.136 0.000
Cd 7.997 5.703 0.000
Bi 1.548 6.114 1.834
Bi 3.019 1.548 1.834
Bi 6.114 7.585 1.834
Bi 7.585 3.019 1.834
CELL_PARAMETERS angstrom
9.133 0.000 0.000
0.000 9.133 0.000
0.000 0.000 3.667
```

* formation energy from the elements: -2.4 kcal/mol of atoms
* mass density: 7.4 g/cm³
* energy: -11.2 eV per formula unit
* ΔE to the lowest computed polymorph: 10.0 kJ/mol of atoms

12.
Below is a relaxed structure of LaInSb, with properties calculated at the PBE level. Values from VASP.

Structure (Quantum ESPRESSO input):
```
&SYSTEM
  ibrav = 0, nat = 12, ntyp = 3
/
ATOMIC_SPECIES
La 138.91 La.upf
In 114.82 In.upf
Sb 121.76 Sb.upf
ATOMIC_POSITIONS angstrom
La 0.000 0.000 0.000
La 0.000 3.757 3.757
La 3.757 0.000 3.757
La 3.757 3.757 0.000
In 1.879 1.879 5.636
In 1.879 5.636 1.879
In 5.636 1.879 1.879
In 5.636 5.636 5.636
Sb 1.879 1.879 1.879
Sb 1.879 5.636 5.636
Sb 5.636 1.879 5.636
Sb 5.636 5.636 1.879
CELL_PARAMETERS angstrom
7.514 0.000 0.000
0.000 7.514 0.000
0.000 0.000 7.514
```

* mass density: 5.9 g/cm³
* energy: -12.8 eV per formula unit
* ΔE_f (raw): -341 meV per atom
* ΔE to the lowest computed polymorph: 23.8 kJ/mol of atoms